one) Material: RbBiMo
Method: DFT, GGA-PBE
State: relaxed

Cell lengths 7.481, 7.481, 7.481 Å; angles 90.00, 90.00, 90.00 degrees
Space group F-43m (No. 216)
Symmetry-distinct sites (fractional):
Rb: 0.000 0.000 0.000
Bi: 0.000 0.000 0.500
Mo: 0.250 0.250 0.750

Results
Total magnetic moment, μB per cell: 16.0
Calculated volume, Å³/atom: 34.9

two) Material: RbBiMo
Method: DFT, GGA-PBE
State: relaxed

Cell lengths 7.743, 7.743, 7.743 Å; angles 90.00, 90.00, 90.00 degrees
Space group F-43m (No. 216)
Symmetry-distinct sites (fractional):
Rb: 0.000 0.000 0.000
Bi: 0.250 0.250 0.750
Mo: 0.250 0.250 0.250

Results
Total magnetic moment, μB per cell: 16.0
Calculated volume, Å³/atom: 38.7

Most stable = one)

one) Material: ThBiMo
Method: DFT, GGA-PBE
State: relaxed

Cell lengths 7.036, 7.036, 7.036 Å; angles 90.00, 90.00, 90.00 degrees
Space group F-43m (No. 216)
Symmetry-distinct sites (fractional):
Th: 0.000 0.000 0.000
Bi: 0.250 0.250 0.750
Mo: 0.000 0.000 0.500

Results
Total magnetic moment, μB per cell: 5.4
Calculated volume, Å³/atom: 29.0

two) Material: ThBiMo
Method: DFT, GGA-PBE
State: relaxed

Cell lengths 7.243, 7.243, 7.243 Å; angles 90.00, 90.00, 90.00 degrees
Space group F-43m (No. 216)
Symmetry-distinct sites (fractional):
Th: 0.000 0.000 0.000
Bi: 0.250 0.250 0.750
Mo: 0.250 0.250 0.250

Results
Total magnetic moment, μB per cell: 8.7
Calculated volume, Å³/atom: 31.7

Most stable = one)